Entry 1:
RbBi3C | PBE | relaxed

Lattice parameters (Å, degrees): 5.2563 5.2563 5.2563 90.00 90.00 90.00
Sites, in units of the cell vectors:
Bi1 0.0000 0.5000 0.0000
Bi2 0.5000 0.0000 0.0000
Bi3 0.0000 0.0000 0.5000
Rb1 0.5000 0.5000 0.5000
C1 0.0000 0.0000 0.0000

Values from the calculation:
- Spin magnetization: 0.00 μB/atom
- ρ: 8.283 g cm⁻³
- Energy of formation from the pure elements: 0.811 eV per atom
- Space-group type: No. 221
- Polymorph energy (0 for the lowest one): 0 meV per atom

=====

Entry 2:
CdIn | PBE | relaxed

Lattice parameters (Å, degrees): 6.0157 6.0157 6.0721 90.00 90.00 90.00
Sites, in units of the cell vectors:
Cd1 0.6894 0.6894 0.5000
Cd2 0.3106 0.3106 0.5000
Cd3 0.1894 0.8106 0.0000
Cd4 0.8106 0.1894 0.0000
In1 0.8075 0.1925 0.5000
In2 0.1925 0.8075 0.5000
In3 0.3075 0.3075 0.0000
In4 0.6925 0.6925 0.0000

Values from the calculation:
- Spin magnetization: 0.00 μB/atom
- ρ: 6.869 g cm⁻³
- Energy of formation from the pure elements: 0.111 eV per atom
- Space-group type: No. 136

=====

Entry 3:
Ce3AgC | PBE | relaxed

Lattice parameters (Å, degrees): 4.9417 4.9417 4.9417 90.00 90.00 90.00
Each line ends with the local moment (μB).
Sites, in units of the cell vectors:
Ce1 0.0000 0.0000 0.5000  0.48
Ce2 0.0000 0.5000 0.0000  0.48
Ce3 0.5000 0.0000 0.0000  0.48
C1 0.0000 0.0000 0.0000  -0.05
Ag1 0.5000 0.5000 0.5000  0.01

Values from the calculation:
- Spin magnetization: 0.35 μB/atom
- ρ: 7.433 g cm⁻³
- Energy of formation from the pure elements: -0.060 eV per atom
- Space-group type: No. 221
- Polymorph energy (0 for the lowest one): 0 meV per atom

=====

Entry 4:
CrCu3S | PBE | relaxed

Lattice parameters (Å, degrees): 4.5849 4.5849 4.5849 90.00 90.00 90.00
Each line ends with the local moment (μB).
Sites, in units of the cell vectors:
Cu1 0.5000 0.0000 0.0000  0.10
Cu2 0.0000 0.5000 0.0000  0.20
Cu3 0.0000 0.0000 0.5000  0.28
Cr1 0.0000 0.0000 0.0000  3.65
S1 0.5000 0.5000 0.5000  0.13

Values from the calculation:
- Spin magnetization: 0.99 μB/atom
- ρ: 4.733 g cm⁻³
- Energy relative to the elements, uncorrected: 1395.5 meV/atom
- Space-group type: No. 221
- Polymorph energy (0 for the lowest one): 788 meV per atom

=====

Entry 5:
TbPm4Tm4 | PBE | relaxed

Lattice parameters (Å, degrees): 5.0308 7.9852 7.9852 84.31 71.64 71.64
Sites, in units of the cell vectors:
Pm1 0.0000 0.6695 0.3304
Pm2 0.3305 0.6696 0.6695
Pm3 0.6695 0.3304 0.3305
Pm4 0.0000 0.3305 0.6696
Tm1 0.3340 0.0000 0.3320
Tm2 0.6660 0.6680 0.0000
Tm3 0.3340 0.3320 0.0000
Tm4 0.6660 0.0000 0.6680
Tb1 0.0000 0.0000 0.0000

Values from the calculation:
- Spin magnetization: 0.00 μB/atom
- ρ: 8.130 g cm⁻³
- Energy of formation from the pure elements: 0.022 eV per atom
- Space-group type: No. 139
- Polymorph energy (0 for the lowest one): 0 meV per atom

=====

Entry 6:
RbCdCu2 | PBE | relaxed

Lattice parameters (Å, degrees): 5.0782 5.0782 9.8496 75.06 75.06 90.00
Sites, in units of the cell vectors:
Cd1 0.7500 0.2500 0.5000
Cd2 0.0000 0.0000 0.0000
Cu1 0.8750 0.6250 0.2500
Cu2 0.8750 0.1250 0.2500
Cu3 0.8750 0.1250 0.7500
Cu4 0.3750 0.1250 0.7500
Rb1 0.5000 0.5000 0.0000
Rb2 0.2500 0.7500 0.5000

Values from the calculation:
- Spin magnetization: 0.00 μB/atom
- ρ: 4.563 g cm⁻³
- Energy of formation from the pure elements: 0.297 eV per atom
- Space-group type: No. 141

=====

no.,E_tot (eV/atom)
1,-3.5559
2,-1.7153
3,-6.0354
4,-3.8123
5,-4.5908
6,-2.2213